Below is a relaxed PdRuRhW2 crystal, with properties calculated at the PBE level.

Its density of states at the Fermi level is 5.96 states/eV/f.u. As for the excess energy over the best structure of this formula in the dataset: 4.5 kJ/mol of atoms. The calculated volume comes out at 100.3 Å³/cell. The calculation puts the energy of formation at 1969.7 meV/atom.

The space group is P4/mmm (No. 123) and the conventional cell measures 4.603, 4.603 and 4.735 Å, with angles of 90.00, 90.00 and 90.00 degrees. Symmetry generates all atoms from Pd at (0.000, 0.000, 0.000), Ru at (0.500, 0.500, 0.000), Rh at (0.000, 0.000, 0.500) and W at (0.000, 0.500, 0.500).

Below is a relaxed BaPuAl2Ge2 crystal, with properties calculated at the PBE level.

Its density of states at the Fermi level is 12.75 states/eV/f.u. The calculated volume comes out at 150.2 Å³/cell. The calculation puts the energy of formation at -379.3 meV/atom.

The space group is P-3m1 (No. 164) and the conventional cell measures 4.3066, 4.3066 and 9.3491 Å, with angles of 90.00, 90.00 and 120.00 degrees. Symmetry generates all atoms from Ba at (0.0000, 0.0000, 0.0000), Pu at (0.0000, 0.0000, 0.5000), Al at (0.3333, 0.6667, 0.7073) and Ge at (0.3333, 0.6667, 0.2709).